This record from the Alexandria database describes a relaxed structure of MnNi2AsO6. The functional is GGA+U.

As for the crystal system: tetragonal. The space group is No. 99. The value obtained for the total energy is -0.2047 hartree per atom. For the magnetization, the calculation gives 8.000 μB/f.u.

a b c (Å): 5.258 5.258 4.557
angles (deg): 90.00 90.00 90.00
Atoms (fractional coordinates):
Mn (0.000, 0.000, 0.000)
Ni (0.000, 0.500, 0.342)
Ni (0.500, 0.000, 0.342)
As (0.500, 0.500, 0.025)
O (0.000, 0.000, 0.615)
O (0.265, 0.265, 0.158)
O (0.265, 0.735, 0.158)
O (0.500, 0.500, 0.656)
O (0.735, 0.265, 0.158)
O (0.735, 0.735, 0.158)

---

This record from the Alexandria database describes a relaxed structure of Mn2NiAsO6. The functional is GGA+U.

As for the crystal system: triclinic. The space group is No. 1. The value obtained for the total energy is -0.2379 hartree per atom. For the magnetization, the calculation gives 9.002 μB/f.u.

a b c (Å): 5.067 5.071 5.512
angles (deg): 117.22 90.10 119.83
Atoms (fractional coordinates):
Mn (0.000, 0.000, 0.000)
Mn (0.476, 0.953, 0.429)
Ni (0.276, 0.550, 0.827)
As (0.796, 0.587, 0.382)
O (0.059, 0.499, 0.171)
O (0.180, 0.047, 0.628)
O (0.442, 0.112, 0.173)
O (0.583, 0.759, 0.629)
O (0.674, 0.732, 0.173)
O (0.870, 0.453, 0.631)

---

This record from the Alexandria database describes a relaxed structure of MnNiAs2O6. The functional is GGA+U.

As for the crystal system: monoclinic. The space group is No. 15. The value obtained for the total energy is -0.2178 hartree per atom. For the magnetization, the calculation gives 4.994 μB/f.u.

a b c (Å): 7.474 7.474 5.101
angles (deg): 93.31 93.31 99.71
Atoms (fractional coordinates):
Mn (0.093, 0.907, 0.750)
Mn (0.907, 0.093, 0.250)
Ni (0.191, 0.809, 0.250)
Ni (0.809, 0.191, 0.750)
As (0.215, 0.401, 0.581)
As (0.401, 0.215, 0.081)
As (0.599, 0.785, 0.919)
As (0.785, 0.599, 0.419)
O (0.051, 0.183, 0.578)
O (0.087, 0.702, 0.909)
O (0.183, 0.051, 0.078)
O (0.298, 0.913, 0.591)
O (0.313, 0.396, 0.908)
O (0.396, 0.313, 0.408)
O (0.604, 0.687, 0.592)
O (0.687, 0.604, 0.092)
O (0.702, 0.087, 0.409)
O (0.817, 0.949, 0.922)
O (0.913, 0.298, 0.091)
O (0.949, 0.817, 0.422)

---

no.,V (Å³/cell)
1,126.0
2,104.3
3,279.7